{
  "formula": "HfIr2Rh8",
  "functional": "PBE-GGA",
  "state": "relaxed",
  "lattice": [[-4.171, 0.182, 1.254], [3.632, -2.868, 4.925], [1.965, 3.616, 6.012]],
  "species": ["Rh", "Rh", "Rh", "Rh", "Rh", "Ir", "Rh", "Rh", "Rh", "Hf", "Ir"],
  "frac_coords": [[0.839, 0.677, 0.281], [0.690, 0.381, 0.124], [0.310, 0.619, 0.876], [0.584, 0.168, 0.570], [0.940, 0.881, 0.810], [0.785, 0.571, 0.686], [0.416, 0.832, 0.430], [0.161, 0.323, 0.719], [0.060, 0.119, 0.190], [0.500, 0.000, 0.000], [0.215, 0.429, 0.314]],
  "e_form_ev_per_fu": -1.124,
  "dos_at_fermi_per_ev_cell": 14.55,
  "sg": "C2/m, No. 12",
  "dft_energy_ev_per_cell": -87.61
}